# 1
PBE Rb2Li3TiF12, relaxed; E_form (uncorrected) = -2.499 eV/atom
1.0
3.5241 2.0346 6.2008
-3.5241 2.0346 6.2008
0.0000 -4.0693 6.2008
Rb Li Ti F
2 3 1 12
direct
0.1215 0.1215 0.1215
0.8785 0.8785 0.8785
0.0000 0.5000 0.5000
0.5000 0.0000 0.5000
0.5000 0.5000 0.0000
0.5000 0.5000 0.5000
0.1618 0.1618 0.5945
0.1618 0.5945 0.1618
0.1871 0.5705 0.5705
0.4055 0.8382 0.8382
0.4295 0.4295 0.8129
0.4295 0.8129 0.4295
0.5705 0.1871 0.5705
0.5705 0.5705 0.1871
0.5945 0.1618 0.1618
0.8129 0.4295 0.4295
0.8382 0.4055 0.8382
0.8382 0.8382 0.4055

# 2
PBE ScZnAs2, relaxed; energy of formation = -0.4172 eV/atom
1.0
-2.0833 2.0963 4.1720
2.0833 -2.0963 4.1720
2.0833 2.0963 -4.1720
Sc Zn As
1 1 2
direct
0.0000 0.0000 0.0000
0.5000 0.5000 0.0000
0.2501 0.7501 0.5000
0.7499 0.2499 0.5000

# 3
PBE LaSm12Y2, relaxed; energy of formation = 0.1538 eV/atom
1.0
3.5800 -5.7656 0.0000
3.5800 5.7656 0.0000
0.0000 0.0000 25.0311
La Sm Y
2 24 4
direct
0.2500 0.7500 0.9965
0.7500 0.2500 0.0035
0.0032 0.5032 0.8672
0.0060 0.9940 0.0784
0.0180 0.5180 0.4151
0.0230 0.9770 0.5598
0.2500 0.2500 0.2013
0.2500 0.2500 0.3269
0.2500 0.2500 0.6731
0.2500 0.2500 0.7987
0.4770 0.5230 0.5598
0.4820 0.9820 0.4151
0.4940 0.5060 0.0784
0.4968 0.9968 0.8672
0.5032 0.0032 0.1328
0.5060 0.4940 0.9216
0.5180 0.0180 0.5849
0.5230 0.4770 0.4402
0.7500 0.7500 0.2013
0.7500 0.7500 0.3269
0.7500 0.7500 0.6731
0.7500 0.7500 0.7987
0.9770 0.0230 0.4402
0.9820 0.4820 0.5849
0.9940 0.0060 0.9216
0.9968 0.4968 0.1328
0.2500 0.7500 0.2678
0.2500 0.7500 0.7275
0.7500 0.2500 0.2725
0.7500 0.2500 0.7322

# 4
PBE GaCuB3, relaxed; relative energy among the computed polymorphs = 0.0 meV per atom; energy of formation = 1.5334 eV/atom
1.0
3.9471 0.0000 0.0000
0.0000 3.9471 0.0000
0.0000 0.0000 3.9471
Ga Cu B
1 1 3
direct
0.0000 0.0000 0.0000
0.5000 0.5000 0.5000
0.0000 0.5000 0.5000
0.5000 0.0000 0.5000
0.5000 0.5000 0.0000

# 5
PBE InGa2Pd8, relaxed; relative energy among the computed polymorphs = 0.0 meV per atom; energy of formation = -0.4867 eV/atom
1.0
6.9786 -2.0567 0.0000
6.9786 2.0567 0.0000
-2.2059 0.0000 6.0082
In Ga Pd
1 2 8
direct
0.0000 0.0000 0.0000
0.2875 0.2875 0.3357
0.7125 0.7125 0.6643
0.1025 0.1025 0.4738
0.1787 0.1787 0.9320
0.3399 0.3399 0.7656
0.4608 0.4608 0.2682
0.5392 0.5392 0.7318
0.6601 0.6601 0.2344
0.8213 0.8213 0.0680
0.8975 0.8975 0.5262

# 6
PBE SrP2Ru, relaxed; relative energy among the computed polymorphs = 637.9 meV per atom; energy of formation = -0.0528 eV/atom
1.0
0.0000 3.2792 3.2792
3.2792 0.0000 3.2792
3.2792 3.2792 0.0000
Sr P Ru
1 2 1
direct
0.0000 0.0000 0.0000
0.2500 0.2500 0.2500
0.7500 0.7500 0.7500
0.5000 0.5000 0.5000

Number 1: raw total energy -0.169 Ha/atom. Number 2: raw total energy -0.171 Ha/atom. Number 3: raw total energy -0.177 Ha/atom. Number 4: raw total energy -0.143 Ha/atom. Number 5: raw total energy -0.186 Ha/atom. Number 6: raw total energy -0.202 Ha/atom.